No. 1
Entry from the Alexandria database: crystalline ZrSc2I at its relaxed geometry (PBEsol).

Cell: 4.994 4.994 4.994 Å, 60.00 60.00 60.00°
Atoms (fractional coordinates):
Sc: 0.750 0.750 0.750
Sc: 0.250 0.250 0.250
I: 0.500 0.500 0.500
Zr: 0.000 0.000 0.000

## Properties
The space group is Fm-3m (225). As for the uncorrected formation energy: 0.184 eV/atom. For the size of the total moment, the calculation gives 0.0 μB/cell.

No. 2
Entry from the Alexandria database: crystalline SeI2 at its relaxed geometry (PBEsol).

Cell: 3.845 7.935 7.935 Å, 90.00 90.00 90.00°
Atoms (fractional coordinates):
I: 0.500 0.180 0.820
I: 0.000 0.320 0.320
I: 0.500 0.820 0.180
I: 0.000 0.680 0.680
Se: 0.500 0.500 0.500
Se: 0.000 0.000 0.000

## Properties
The space group is P4_2/mnm (136). As for the uncorrected formation energy: 0.086 eV/atom. For the size of the total moment, the calculation gives 0.0 μB/cell.

No. 3
Entry from the Alexandria database: crystalline SeI3 at its relaxed geometry (PBEsol).

Cell: 4.511 9.194 8.991 Å, 120.75 97.46 90.00°
Atoms (fractional coordinates):
I: 0.324 0.784 0.094
I: 0.681 0.534 0.593
I: 0.056 0.119 0.237
I: 0.951 0.725 0.451
I: 0.681 0.059 0.593
I: 0.324 0.310 0.094
Se: 0.398 0.344 0.689
Se: 0.607 0.498 0.997

## Properties
The space group is Cm (8). As for the uncorrected formation energy: -0.009 eV/atom. For the size of the total moment, the calculation gives 0.0 μB/cell.

No. 4
Entry from the Alexandria database: crystalline YSnSeI2 at its relaxed geometry (PBEsol).

Cell: 5.635 5.635 6.355 Å, 90.00 90.00 90.00°
Each line ends with the local moment (μB).
Atoms (fractional coordinates):
I: 0.500 0.000 0.000  0.01
I: 0.000 0.500 0.000  0.01
Y: 0.000 0.000 0.000  0.00
Se: 0.500 0.500 0.500  0.44
Sn: 0.000 0.000 0.500  -0.04

## Properties
The space group is P4/mmm (123). As for the uncorrected formation energy: -0.073 eV/atom. For the size of the total moment, the calculation gives 0.7 μB/cell.

No. 5
Entry from the Alexandria database: crystalline SrSe2I2 at its relaxed geometry (PBEsol).

Cell: 3.832 3.832 11.860 Å, 99.30 99.30 90.00°
Atoms (fractional coordinates):
I: 0.416 0.416 0.832
I: 0.584 0.584 0.168
Sr: 0.000 0.000 0.000
Se: 0.750 0.250 0.500
Se: 0.250 0.750 0.500

## Properties
The space group is I4/mmm (139). As for the uncorrected formation energy: -0.800 eV/atom. For the size of the total moment, the calculation gives 0.0 μB/cell.

No. 6
Entry from the Alexandria database: crystalline Ta3Se12I at its relaxed geometry (PBEsol).

Cell: 9.358 9.358 19.038 Å, 90.00 90.00 90.00°
Atoms (fractional coordinates):
Se: 0.051 0.717 0.329
Se: 0.726 0.026 0.500
Se: 0.374 0.810 0.339
Se: 0.810 0.626 0.661
Se: 0.690 0.126 0.161
Se: 0.690 0.126 0.839
Se: 0.783 0.449 0.829
Se: 0.449 0.217 0.171
Se: 0.949 0.283 0.329
Se: 0.949 0.283 0.671
Se: 0.774 0.526 0.000
Se: 0.874 0.690 0.839
Se: 0.310 0.874 0.839
Se: 0.551 0.783 0.829
Se: 0.474 0.774 0.000
Se: 0.874 0.690 0.161
Se: 0.717 0.949 0.329
Se: 0.274 0.974 0.500
Se: 0.112 0.701 0.000
Se: 0.299 0.112 0.000
Se: 0.888 0.299 0.000
Se: 0.374 0.810 0.661
Se: 0.190 0.374 0.339
Se: 0.701 0.888 0.000
Se: 0.626 0.190 0.661
Se: 0.190 0.374 0.661
Se: 0.217 0.551 0.171
Se: 0.612 0.799 0.500
Se: 0.310 0.874 0.161
Se: 0.283 0.051 0.671
Se: 0.217 0.551 0.829
Se: 0.226 0.474 0.000
Se: 0.026 0.274 0.500
Se: 0.974 0.726 0.500
Se: 0.388 0.201 0.500
Se: 0.626 0.190 0.339
Se: 0.783 0.449 0.171
Se: 0.799 0.388 0.500
Se: 0.126 0.310 0.161
Se: 0.717 0.949 0.671
Se: 0.051 0.717 0.671
Se: 0.526 0.226 0.000
Se: 0.126 0.310 0.839
Se: 0.283 0.051 0.329
Se: 0.551 0.783 0.171
Se: 0.449 0.217 0.829
Se: 0.201 0.612 0.500
Se: 0.810 0.626 0.339
Ta: 0.500 0.000 0.081
Ta: 0.500 0.000 0.919
Ta: 0.000 0.500 0.419
Ta: 0.500 0.000 0.750
Ta: 0.500 0.000 0.581
Ta: 0.000 0.500 0.581
Ta: 0.000 0.500 0.081
Ta: 0.000 0.500 0.250
Ta: 0.500 0.000 0.419
Ta: 0.500 0.000 0.250
Ta: 0.000 0.500 0.750
Ta: 0.000 0.500 0.919
I: 0.500 0.500 0.376
I: 0.000 0.000 0.876
I: 0.500 0.500 0.624
I: 0.000 0.000 0.124

## Properties
The space group is P4/mnc (128). As for the uncorrected formation energy: -0.532 eV/atom. For the size of the total moment, the calculation gives 0.0 μB/cell.

No. 7
Entry from the Alexandria database: crystalline Ta3SeI7 at its relaxed geometry (PBEsol).

Cell: 7.497 7.497 13.622 Å, 90.00 90.00 120.00°
Atoms (fractional coordinates):
I: 0.503 0.497 0.638
I: 0.169 0.831 0.386
I: 0.169 0.339 0.386
I: 0.831 0.169 0.886
I: 0.994 0.497 0.638
I: 0.339 0.169 0.886
I: 0.497 0.994 0.138
I: 0.497 0.503 0.138
I: 0.831 0.661 0.886
I: 0.661 0.831 0.386
I: 0.333 0.667 0.853
I: 0.503 0.006 0.638
I: 0.667 0.333 0.353
I: 0.006 0.503 0.138
Ta: 0.869 0.738 0.250
Ta: 0.869 0.131 0.250
Ta: 0.262 0.131 0.250
Ta: 0.131 0.262 0.750
Ta: 0.738 0.869 0.750
Ta: 0.131 0.869 0.750
Se: 0.000 0.000 0.112
Se: 0.000 0.000 0.612

## Properties
The space group is P6_3mc (186). As for the uncorrected formation energy: -0.527 eV/atom. For the size of the total moment, the calculation gives 0.0 μB/cell.

No. 8
Entry from the Alexandria database: crystalline TaTe2SeI at its relaxed geometry (PBEsol).

Cell: 5.315 5.315 5.311 Å, 90.00 90.00 90.00°
Atoms (fractional coordinates):
Ta: 0.000 0.000 0.000
Se: 0.500 0.500 0.500
I: 0.000 0.000 0.500
Te: 0.500 0.000 0.000
Te: 0.000 0.500 0.000

## Properties
The space group is P4/mmm (123). As for the uncorrected formation energy: 0.413 eV/atom. For the size of the total moment, the calculation gives 0.0 μB/cell.